MoOs5 | PBE | relaxed

a b c (Å): 2.738 2.738 11.685
angles (deg): 90.00 90.00 90.00
Space group P4/mmm (No. 123)
Inequivalent atoms, fractional coordinates:
Mo 0.000 0.000 0.000
Os 0.000 0.000 0.335
Os 0.500 0.500 0.173
Os 0.500 0.500 0.500

* DOS(E_F): 5.172 states/eV/f.u.
* formation energy: 0.1214 eV per atom
* offset from the most stable computed form: 14.7 kJ/mol of atoms

Ru5Pt3 | PBE | relaxed

a b c (Å): 7.8465 7.8465 4.6506
angles (deg): 90.00 90.00 120.00
Space group P6_3/mcm (No. 193)
Inequivalent atoms, fractional coordinates:
Ru 0.0000 0.1935 0.2500
Ru 0.3333 0.6667 0.0000
Pt 0.0000 0.3904 0.7500

* DOS(E_F): 11.038 states/eV/f.u.
* formation energy: 0.3655 eV per atom
* offset from the most stable computed form: 33.5 kJ/mol of atoms

YCu2Te | PBE | relaxed

a b c (Å): 3.690 3.690 6.329
angles (deg): 90.00 90.00 90.00
Space group P4mm (No. 99)
Inequivalent atoms, fractional coordinates:
Y 0.000 0.000 0.000
Cu 0.000 0.000 0.427
Cu 0.500 0.500 0.326
Te 0.500 0.500 0.753

* DOS(E_F): 1.676 states/eV/f.u.
* energy relative to the elements, uncorrected: -0.225 eV per atom

YSiNiN2 | PBE | relaxed

a b c (Å): 3.854 3.854 5.078
angles (deg): 90.00 90.00 90.00
Space group P4/mmm (No. 123)
Inequivalent atoms, fractional coordinates:
Y 0.000 0.000 0.000
Si 0.500 0.500 0.000
Ni 0.000 0.000 0.500
N 0.000 0.500 0.500

* DOS(E_F): 3.386 states/eV/f.u.
* energy relative to the elements, uncorrected: 1.009 eV per atom

HfZn3Cr | PBE | relaxed

a b c (Å): 5.075 5.075 5.075
angles (deg): 90.00 90.00 90.00
Space group Pm-3m (No. 221)
Inequivalent atoms, fractional coordinates:
Hf 0.000 0.000 0.000
Zn 0.000 0.000 0.500
Cr 0.500 0.500 0.500

* DOS(E_F): 8.061 states/eV/f.u.
* formation energy: 1.7502 eV per atom
* offset from the most stable computed form: 95.6 kJ/mol of atoms

Ce2Sm2Y7 | PBE | relaxed

a b c (Å): 11.189 11.673 6.035
angles (deg): 90.00 112.62 90.00
Space group C2/m (No. 12)
Inequivalent atoms, fractional coordinates:
Ce 0.000 0.213 0.000
Sm 0.228 0.000 0.089
Y 0.000 0.000 0.500
Y 0.092 0.500 0.304
Y 0.172 0.239 0.675

* DOS(E_F): 24.946 states/eV/f.u.
* formation energy: 0.2036 eV per atom

NbAs2PbO8 | PBE | relaxed

a b c (Å): 8.566 5.767 7.561
angles (deg): 90.00 91.20 90.00
Space group C2/m (No. 12)
Inequivalent atoms, fractional coordinates:
Nb 0.000 0.000 0.000
As 0.136 0.500 0.781
Pb 0.000 0.000 0.500
O 0.022 0.244 0.802
O 0.211 0.500 0.576
O 0.232 0.000 0.039

* DOS(E_F): 2.112 states/eV/f.u.
* energy relative to the elements, uncorrected: -1.521 eV per atom

ZrNbRePd | PBE | relaxed

a b c (Å): 6.546 6.546 6.546
angles (deg): 90.00 90.00 90.00
Space group F-43m (No. 216)
Inequivalent atoms, fractional coordinates:
Zr 0.000 0.000 0.000
Nb 0.000 0.000 0.500
Re 0.250 0.250 0.250
Pd 0.250 0.250 0.750

* DOS(E_F): 3.205 states/eV/f.u.
* formation energy: -0.2762 eV per atom

Th4Mn2Tl5 | PBE | relaxed

a b c (Å): 8.195 3.752 9.692
angles (deg): 90.00 93.60 90.00
Space group P2/m (No. 10)
Inequivalent atoms, fractional coordinates:
Th 0.191 0.000 0.340
Th 0.209 0.000 0.928
Mn 0.069 0.500 0.124
Tl 0.146 0.500 0.635
Tl 0.451 0.500 0.162
Tl 0.500 0.500 0.500

* DOS(E_F): 11.780 states/eV/f.u.
* formation energy: -0.0425 eV per atom

Nd2Pa2Te2S5 | PBE | relaxed

a b c (Å): 5.228 5.228 25.993
angles (deg): 90.00 90.00 90.00
Space group I4/mmm (No. 139)
Inequivalent atoms, fractional coordinates:
Nd 0.000 0.000 0.163
Pa 0.000 0.000 0.400
Te 0.000 0.000 0.285
S 0.000 0.000 0.500
S 0.000 0.500 0.111

* DOS(E_F): 6.577 states/eV/f.u.
* energy relative to the elements, uncorrected: -1.509 eV per atom

Sm4Tm7Sc | PBE | relaxed

a b c (Å): 6.420 6.721 8.987
angles (deg): 85.22 76.84 81.53
Space group P-1 (No. 2)
Inequivalent atoms, fractional coordinates:
Sm 0.154 0.319 0.281
Sm 0.329 0.882 0.695
Tm 0.000 0.255 0.953
Tm 0.174 0.809 0.363
Tm 0.316 0.391 0.623
Tm 0.500 0.000 0.000
Sc 0.500 0.500 0.000

* DOS(E_F): 20.336 states/eV/f.u.
* formation energy: 0.1024 eV per atom
* offset from the most stable computed form: 0.0 kJ/mol of atoms

V2SiH | PBE | relaxed

a b c (Å): 5.697 5.697 5.697
angles (deg): 90.00 90.00 90.00
Space group Fm-3m (No. 225)
Inequivalent atoms, fractional coordinates:
V 0.250 0.250 0.250
Si 0.000 0.000 0.000
H 0.000 0.000 0.500

* DOS(E_F): 3.619 states/eV/f.u.
* offset from the most stable computed form: 47.6 kJ/mol of atoms